Entry one
## Ag7Pt4 (PBE)

Data for a geometry-optimized Ag7Pt4 structure.

Structure (extended XYZ):
```
11
Lattice="6.5425 0.0217 0.0203 5.9195 2.7863 0.0203 5.9663 1.3444 10.2796" Properties=species:S:1:pos:R:3 pbc="T T T"
Ag 3.9693 0.8944 0.9627
Pt 11.8351 2.6668 2.8582
Ag 3.3276 0.7498 3.7448
Ag 7.2615 1.6362 4.7026
Pt 14.5546 3.2796 9.3812
Ag 6.5966 1.4864 7.5076
Pt 10.4642 2.3579 8.3939
Pt 15.1168 3.4062 6.6043
Ag 5.9786 1.3471 10.2118
Ag 7.8395 1.7664 1.8614
Ag 11.1641 2.5156 5.6521
```

The space group is No. 8. Its magnetization is 0.00 μB per formula unit.

Entry two
## Ag7Pt4 (PBE)

Data for a geometry-optimized Ag7Pt4 structure.

Structure (extended XYZ):
```
11
Lattice="5.0487 0.0100 -0.0149 0.0088 7.6509 0.0096 -0.8694 -0.4908 4.8150" Properties=species:S:1:pos:R:3 pbc="T T T"
Pt 3.3046 3.2488 1.7230
Ag 4.2196 6.0032 2.1771
Pt 1.6718 6.6259 3.5080
Ag -0.0157 1.1424 2.6438
Pt 1.7393 5.5363 0.8984
Ag 3.3342 4.3985 4.3697
Ag 2.5175 0.5671 1.3059
Ag 4.1902 7.1519 4.7926
Pt 2.5027 1.6684 3.9284
Ag 0.8403 3.8958 3.0667
Ag 0.8243 2.7819 0.4443
```

The space group is No. 2. Its magnetization is 0.00 μB per formula unit.

Quick look at relative energies in kJ/mol of atoms: entry one 0.0; entry two 0.9.

Entry one
## Ag3Pt4 (PBE)

Data for a geometry-optimized Ag3Pt4 structure.

Structure (extended XYZ):
```
7
Lattice="-2.9533 -2.9567 -2.6204 -3.1219 -3.5642 1.3715 -5.2723 3.5858 0.3231" Properties=species:S:1:pos:R:3 pbc="T T T"
Ag -7.4795 -4.0815 -0.9369
Pt -8.7944 -1.5879 -0.6130
Ag -6.0764 -6.5051 -1.2465
Pt -6.3356 -0.2270 -0.3021
Pt -3.9032 1.1550 0.0110
Pt -5.0456 -2.7246 -0.6277
Ag -2.4829 -1.3553 -0.3111
```

The space group is No. 8. Its magnetization is 0.00 μB per formula unit.

Entry two
## Ag3Pt4 (PBE)

Data for a geometry-optimized Ag3Pt4 structure.

Structure (extended XYZ):
```
7
Lattice="2.5940 -4.4930 0.0000 2.5940 4.4930 0.0000 0.0000 0.0000 5.1178" Properties=species:S:1:pos:R:3 pbc="T T T"
Ag 1.2970 2.2465 0.0000
Pt 0.0000 0.0000 1.3195
Pt 0.0000 0.0000 3.7983
Ag 2.5940 0.0000 0.0000
Pt 2.5940 -1.4977 2.5589
Pt 2.5940 1.4977 2.5589
Ag 1.2970 -2.2465 0.0000
```

The space group is No. 191. Its magnetization is 0.00 μB per formula unit.

Quick look at relative energies in kJ/mol of atoms: entry one 0.0; entry two 30.1.

Entry one
## Ag4Pt5 (PBE)

Data for a geometry-optimized Ag4Pt5 structure.

Structure (extended XYZ):
```
9
Lattice="4.9056 -0.0316 -0.0088 3.2735 3.6538 -0.0088 2.3800 1.0540 8.2117" Properties=species:S:1:pos:R:3 pbc="T T T"
Pt 4.0633 1.7995 4.5829
Ag 3.2343 1.4323 1.8176
Pt 8.9289 3.9542 2.8071
Ag 0.0178 0.0079 0.0098
Pt 1.6066 0.7115 5.5047
Pt 4.8557 2.1504 7.2089
Ag 6.4832 2.8712 3.6285
Pt 7.3355 3.2486 6.3318
Ag 5.7108 2.5291 0.8852
```

The space group is No. 8. Its magnetization is 0.00 μB per formula unit.

Entry two
## Ag4Pt5 (PBE)

Data for a geometry-optimized Ag4Pt5 structure.

Structure (extended XYZ):
```
9
Lattice="2.0462 4.4962 -0.0030 -2.0462 4.4962 -0.0030 0.0000 2.6586 8.0535" Properties=species:S:1:pos:R:3 pbc="T T T"
Pt 0.0000 6.7493 6.6691
Pt 0.0000 4.9018 1.3784
Pt 0.0000 5.8255 4.0238
Pt 0.0000 2.1573 2.2500
Pt 0.0000 9.4938 5.7975
Ag 0.0000 8.4913 3.1269
Ag 0.0000 4.0184 7.6035
Ag 0.0000 7.6327 0.4440
Ag 0.0000 3.1597 4.9207
```

The space group is No. 12. Its magnetization is 0.00 μB per formula unit.

Quick look at relative energies in kJ/mol of atoms: entry one 0.0; entry two 2.5.

Entry one
## Ag4Pt5 (PBE)

Data for a geometry-optimized Ag4Pt5 structure.

Structure (extended XYZ):
```
9
Lattice="-1.5554 -4.4123 -1.5086 -1.6371 -4.4423 1.3225 -11.9314 -0.2789 -0.3472" Properties=species:S:1:pos:R:3 pbc="T T T"
Ag -9.0314 -3.2023 -0.2946
Pt -8.1559 -8.0546 -0.3208
Pt -6.0903 -5.9361 -0.2387
Pt -13.0888 -7.1348 -0.4534
Ag -11.0243 -5.1544 -0.3728
Pt -4.1425 -3.8712 -0.1606
Ag -2.0222 -1.9338 -0.0789
Pt -6.9112 -1.2649 -0.2128
Ag -3.2219 -8.8363 -0.1867
```

The space group is No. 12. Its magnetization is 0.00 μB per formula unit.

Entry two
## Ag4Pt5 (PBE)

Data for a geometry-optimized Ag4Pt5 structure.

Structure (extended XYZ):
```
9
Lattice="-0.6223 5.7199 -6.4530 -2.6846 -6.2768 -5.3048 -3.5270 0.0924 -5.3695" Properties=species:S:1:pos:R:3 pbc="T T T"
Pt -2.2009 -0.3706 -7.8256
Ag -0.8901 -2.0812 -1.7590
Pt 0.0000 0.0000 0.0000
Ag -0.4160 3.8233 -4.3133
Ag -1.7944 -4.1955 -3.5459
Pt -1.1059 -0.1862 -3.9322
Ag -0.2063 1.8966 -2.1397
Pt -1.3120 1.7078 -6.0690
Pt -1.9949 -2.2647 -5.6888
```

The space group is No. 139. Its magnetization is 0.00 μB per formula unit.

Entry three
## Ag4Pt5 (PBE)

Data for a geometry-optimized Ag4Pt5 structure.

Structure (extended XYZ):
```
9
Lattice="4.9745 0.0004 -0.0064 2.4935 4.2927 -0.0084 2.3908 1.4046 6.9418" Properties=species:S:1:pos:R:3 pbc="T T T"
Pt 5.7538 4.1712 4.6284
Pt 2.4480 1.5001 0.0157
Pt 4.2139 4.3107 2.2853
Pt 7.3069 4.3127 6.9281
Ag 4.1387 1.4308 2.3197
Ag 5.7486 1.3538 4.6225
Ag 3.2567 2.8073 4.6138
Pt 6.5906 2.8704 2.2936
Ag 4.9523 0.0341 -0.0056
```

The space group is No. 1. Its magnetization is 0.00 μB per formula unit.

Entry four
## Ag4Pt5 (PBE)

Data for a geometry-optimized Ag4Pt5 structure.

Structure (extended XYZ):
```
18
Lattice="8.0149 0.0000 0.0000 4.0075 6.9411 0.0000 0.0000 0.0000 5.4459" Properties=species:S:1:pos:R:3 pbc="T T T"
Pt 6.5430 2.5495 4.0844
Ag 5.2274 4.8282 4.0844
Pt 5.4794 4.3916 1.3615
Ag 5.5752 0.0000 4.0844
Ag 0.0000 0.0000 2.7229
Ag 2.7876 4.8282 1.3615
Pt 5.0710 0.0000 1.3615
Ag 1.2199 2.1129 4.0844
Pt 4.0075 2.3137 0.0000
Pt 8.0150 4.6274 0.0000
Ag 0.0000 0.0000 0.0000
Pt 4.0075 2.3137 2.7229
Ag 6.7951 2.1129 1.3615
Ag 2.4398 0.0000 1.3615
Pt 2.9439 0.0000 4.0844
Pt 8.0150 4.6274 2.7229
Pt 1.4720 2.5495 1.3615
Pt 2.5355 4.3916 4.0844
```

The space group is No. 193. Its magnetization is 0.00 μB per formula unit.

Quick look at relative energies in kJ/mol of atoms: entry one 0.0; entry two 0.6; entry three 1.9; entry four 15.3.

Entry one
## AgPt8 (PBE)

Data for a geometry-optimized AgPt8 structure.

Structure (extended XYZ):
```
9
Lattice="-2.2389 -3.2877 6.2110 1.8206 5.4707 -4.5994 -6.6593 -0.7234 -3.0868" Properties=species:S:1:pos:R:3 pbc="T T T"
Pt -5.9470 -2.6808 2.0880
Ag 0.0000 0.0000 0.0000
Pt -2.9511 -1.3303 1.0362
Pt 0.4714 2.5597 -1.0064
Pt -4.5656 0.2447 -1.5162
Pt -2.5119 1.2149 0.0410
Pt -0.8896 -0.3767 2.6180
Pt -3.2339 3.1728 -5.1370
Pt -1.6048 1.5745 -2.5492
```

The space group is No. 139. Its magnetization is 0.00 μB per formula unit.

Entry two
## AgPt8 (PBE)

Data for a geometry-optimized AgPt8 structure.

Structure (extended XYZ):
```
9
Lattice="4.7269 -0.5830 1.0242 0.8349 6.8721 0.0779 1.4772 -0.2305 4.6377" Properties=species:S:1:pos:R:3 pbc="T T T"
Pt 1.0524 4.5064 1.6072
Pt 1.8632 2.0926 0.3696
Pt 2.9029 6.6008 1.9654
Pt 4.1361 -0.5422 3.7744
Pt 3.1240 4.2349 3.4778
Pt 5.9866 1.5522 4.1326
Ag 0.0000 0.0000 0.0000
Pt 5.1758 3.9660 5.3701
Pt 3.9150 1.8238 2.2620
```

The space group is No. 162. Its magnetization is 0.00 μB per formula unit.

Quick look at relative energies in kJ/mol of atoms: entry one 2.8; entry two 0.0.

Entry one
## AgPt4 (PBE)

Data for a geometry-optimized AgPt4 structure.

Structure (extended XYZ):
```
5
Lattice="1.9081 -6.5581 0.9251 -3.3370 -5.8370 1.5158 0.3573 5.7272 -3.8178" Properties=species:S:1:pos:R:3 pbc="T T T"
Pt -1.8471 -3.1537 -0.5408
Ag 0.0000 0.0000 0.0000
Pt -0.5740 -4.9786 0.9804
Pt -0.8550 -7.4165 1.4605
Pt 0.7755 -3.5142 -0.8361
```

The space group is No. 139. Its magnetization is 0.01 μB per formula unit.

Entry two
## AgPt4 (PBE)

Data for a geometry-optimized AgPt4 structure.

Structure (extended XYZ):
```
5
Lattice="-3.0933 3.6678 0.2647 -2.8413 -2.1642 -3.2148 -2.3345 -2.2259 3.5618" Properties=species:S:1:pos:R:3 pbc="T T T"
Pt -2.5879 -2.1951 0.1735
Ag -4.1346 -0.3612 0.3059
Pt -2.7139 0.7209 1.9133
Pt -2.9673 0.7518 -1.4750
Pt 0.0000 0.0000 0.0000
```

The space group is No. 221. Its magnetization is 0.00 μB per formula unit.

Entry three
## AgPt4 (PBE)

Data for a geometry-optimized AgPt4 structure.

Structure (extended XYZ):
```
5
Lattice="-0.8901 3.5221 -5.2242 4.2931 -3.5227 -3.1064 0.2720 -1.2276 -4.7492" Properties=species:S:1:pos:R:3 pbc="T T T"
Pt 3.0997 -1.4368 -4.5690
Pt 1.5275 -0.7067 -2.2543
Ag 0.0000 0.0000 0.0000
Pt 0.3033 1.4362 -3.7616
Pt 1.8756 0.7061 -6.0764
```

The space group is No. 87. Its magnetization is 0.00 μB per formula unit.

Entry four
## AgPt4 (PBE)

Data for a geometry-optimized AgPt4 structure.

Structure (extended XYZ):
```
5
Lattice="-0.3555 -2.7312 0.3835 3.5153 1.3977 3.1300 -5.3920 -0.2279 3.4612" Properties=species:S:1:pos:R:3 pbc="T T T"
Pt -0.5902 -0.6682 4.7764
Pt -3.1747 -1.8064 4.3570
Pt 0.9426 0.2449 2.6177
Pt -1.6420 -0.8933 2.1983
Ag 0.0000 0.0000 0.0000
```

The space group is No. 12. Its magnetization is 0.00 μB per formula unit.

Quick look at relative energies in kJ/mol of atoms: entry one 27.4; entry two 172.0; entry three 2.0; entry four 0.0.

Entry one
## Pu3AgPt2 (PBE)

Data for a geometry-optimized Pu3AgPt2 structure.

Structure (extended XYZ):
```
6
Lattice="3.0155 0.0000 0.0000 0.0000 3.0155 0.0000 0.0000 0.0000 14.2449" Properties=species:S:1:pos:R:3 pbc="T T T"
Pu 0.0000 0.0000 2.4565
Pu 0.0000 0.0000 11.7885
Pt 1.5078 1.5078 9.8460
Pt 1.5078 1.5078 4.3989
Pu 0.0000 0.0000 0.0000
Ag 1.5078 1.5078 7.1225
```

The space group is No. 123. Its magnetization is 4.84 μB per formula unit.

Entry two
## Pu3AgPt2 (PBE)

Data for a geometry-optimized Pu3AgPt2 structure.

Structure (extended XYZ):
```
6
Lattice="4.2543 0.0000 -1.3458 0.0000 4.2276 0.0000 -0.0738 0.0000 7.1641" Properties=species:S:1:pos:R:3 pbc="T T T"
Pt 3.5224 2.1138 3.7378
Ag 0.0000 0.0000 0.0000
Pu 2.8424 0.0000 1.5880
Pt 0.6581 2.1138 2.0804
Pu 2.1272 2.1138 -0.6729
Pu 1.3382 0.0000 4.2302
```

The space group is No. 65. Its magnetization is 16.88 μB per formula unit.

Quick look at relative energies in kJ/mol of atoms: entry one 52.5; entry two 0.0.

Entry one
## PuAgPt (PBE)

Data for a geometry-optimized PuAgPt structure.

Structure (extended XYZ):
```
3
Lattice="-0.2648 0.1005 2.9279 -4.7511 -0.9331 -0.3977 3.1681 -3.6599 0.4122" Properties=species:S:1:pos:R:3 pbc="T T T"
Pu -2.2879 -1.7750 1.8241
Pt -0.0445 0.0169 0.4918
Ag 0.4846 -2.7343 0.6266
```

The space group is No. 156. Its magnetization is 5.63 μB per formula unit.

Entry two
## PuAgPt (PBE)

Data for a geometry-optimized PuAgPt structure.

Structure (extended XYZ):
```
6
Lattice="2.8820 0.0000 0.0000 0.0000 5.1997 0.0000 -1.4410 0.0000 8.5155" Properties=species:S:1:pos:R:3 pbc="T T T"
Ag 0.0000 3.8998 7.9761
Pu 1.4410 3.8998 2.6642
Pu 0.0000 1.2999 5.8513
Pt 1.4410 3.8998 5.4611
Ag 1.4410 1.2999 0.5394
Pt 0.0000 1.2999 3.0544
```

The space group is No. 63. Its magnetization is 5.67 μB per formula unit.

Quick look at relative energies in kJ/mol of atoms: entry one 0.0; entry two 9.4.

Entry one
## PuAgPt (PBE)

Data for a geometry-optimized PuAgPt structure.

Structure (extended XYZ):
```
3
Lattice="-1.5974 2.5694 1.9159 1.5497 -1.2546 2.9746 3.8692 2.2978 -3.2022" Properties=species:S:1:pos:R:3 pbc="T T T"
Ag 0.7784 1.2739 2.2873
Pu 2.2794 1.7517 -0.4487
Pt 3.4317 3.3130 1.7650
```

The space group is No. 107. Its magnetization is 5.17 μB per formula unit.

Entry two
## PuAgPt (PBE)

Data for a geometry-optimized PuAgPt structure.

Structure (extended XYZ):
```
12
Lattice="-1.9869 3.8382 3.2382 -4.4167 0.6257 -3.4506 -4.7198 -4.7279 5.1824" Properties=species:S:1:pos:R:3 pbc="T T T"
Ag -4.4931 -0.7128 -1.2917
Pt -4.5781 -4.1737 5.1003
Ag -7.8452 -1.1574 2.9173
Pu -8.3950 -0.2643 6.0856
Pt -3.3436 1.6777 -0.0241
Pt -6.6976 1.2330 4.1871
Pt -3.2110 0.1092 4.1273
Ag -5.6370 -1.4703 4.6425
Pu -5.9302 2.2323 -1.2218
Ag -2.2847 -1.0257 0.4337
Pu -5.0416 0.1816 1.8754
Pu -7.2967 -2.0518 -0.2498
```

The space group is No. 63. Its magnetization is 5.27 μB per formula unit.

Quick look at relative energies in kJ/mol of atoms: entry one 17.8; entry two 0.0.

Entry one
## RbAgPt (PBE)

Data for a geometry-optimized RbAgPt structure.

Structure (extended XYZ):
```
6
Lattice="4.7207 0.0001 0.0004 0.0018 6.5384 -0.3091 -0.0003 2.4257 5.0808" Properties=species:S:1:pos:R:3 pbc="T T T"
Pt 2.1241 5.6662 3.9556
Ag 2.1242 4.7023 1.2227
Rb 4.4824 1.0021 0.7914
Pt 4.4849 4.0208 -0.1289
Ag 4.4846 4.9853 2.6041
Rb 2.1219 2.1466 3.3445
```

The space group is No. 11. Its magnetization is 0.00 μB per formula unit.

Entry two
## RbAgPt (PBE)

Data for a geometry-optimized RbAgPt structure.

Structure (extended XYZ):
```
6
Lattice="4.6038 -0.0083 0.0085 2.2936 6.0177 2.3736 0.0103 0.3747 6.6108" Properties=species:S:1:pos:R:3 pbc="T T T"
Ag 5.2816 3.2222 4.4843
Rb 2.9698 2.8445 1.7329
Pt 2.9799 1.8767 5.3451
Rb 2.9684 5.7574 5.5160
Ag 5.2606 5.3713 2.7731
Pt 0.6753 1.0823 6.1411
```

The space group is No. 2. Its magnetization is 0.00 μB per formula unit.

Quick look at relative energies in kJ/mol of atoms: entry one 0.0; entry two 4.7.